Entry 1:
SCAN KTcIr2, PBEsol geometry; total magnetic moment = 0.521 μB/atom; DOS at the Fermi energy = 0.423 states/eV/atom; DFT formation energy = 1.24 eV per atom; space-group type = No. 225
1.0
-1.382 3.101 -2.961
-0.863 -1.181 -4.261
-4.246 -0.057 -1.505
K Ir Tc
1 2 1
direct
0.000 0.000 0.000
0.750 0.750 0.750
0.250 0.250 0.250
0.500 0.500 0.500

---

Entry 2:
SCAN KTl2Ag, PBEsol geometry; total magnetic moment = 0.000 μB/atom; DOS at the Fermi energy = 0.396 states/eV/atom; DFT formation energy = -0.08 eV per atom; space-group type = No. 123
1.0
-0.518 -1.578 3.145
-2.730 -1.826 -1.366
5.239 -6.164 -2.231
Tl K Ag
2 1 1
direct
0.000 0.000 0.803
0.000 0.000 0.197
0.500 0.500 0.500
0.500 0.500 0.000

---

Entry 3:
SCAN KInBr3, PBEsol geometry; total magnetic moment = 0.000 μB/atom; DOS at the Fermi energy = 0.000 states/eV/atom; formation energy from raw total energies = -1.33 eV/atom; space-group type = No. 147
1.0
-5.713 5.078 3.615
-1.695 -3.655 -7.434
-4.271 -8.456 5.131
Br K In
12 4 4
direct
0.392 0.309 0.376
0.917 0.608 0.376
0.283 0.903 0.120
0.309 0.917 0.624
0.619 0.717 0.120
0.083 0.392 0.624
0.608 0.691 0.624
0.903 0.619 0.880
0.097 0.381 0.120
0.381 0.283 0.880
0.691 0.083 0.376
0.717 0.097 0.880
0.333 0.667 0.871
0.667 0.333 0.129
0.000 0.000 0.265
0.000 0.000 0.735
0.667 0.333 0.503
0.667 0.333 0.756
0.333 0.667 0.244
0.333 0.667 0.497

---

Entry 4:
SCAN TlCrSi, PBEsol geometry; relative energy among the computed polymorphs = 118 meV/atom; total magnetic moment = 0.907 μB/atom; DOS at the Fermi energy = 0.809 states/eV/atom; formation energy from raw total energies = 0.56 eV/atom; space-group type = No. 156
1.0
-0.268 2.616 1.448
-2.379 -1.809 -0.285
1.562 -2.935 5.593
Cr Si Tl
1 1 1
direct
0.000 0.000 0.969
0.333 0.667 0.711
0.667 0.333 0.320

---

Entry 5:
SCAN SbSeBr2O, PBEsol geometry; total magnetic moment = 0.552 μB/atom; DOS at the Fermi energy = 0.837 states/eV/atom; formation energy from raw total energies = 0.53 eV/atom; space-group type = No. 123
1.0
5.422 0.000 0.000
0.000 5.422 0.000
0.000 0.000 5.418
Se Br Sb O
1 2 1 1
direct
0.000 0.000 0.500
0.000 0.500 0.000
0.500 0.000 0.000
0.000 0.000 0.000
0.500 0.500 0.500

---

Entry 6:
SCAN AlSn2PH24C8, PBEsol geometry; total magnetic moment = 0.000 μB/atom; DOS at the Fermi energy = 0.000 states/eV/atom; uncorrected energy = -516.7 eV per cell; space-group type = No. 2
1.0
-8.493 3.627 -2.127
-7.370 -2.751 5.943
-0.271 7.496 6.733
H C Sn P Al
48 16 4 2 2
direct
0.438 0.162 0.980
0.546 0.833 0.562
0.667 0.637 0.618
0.014 0.204 0.544
0.816 0.302 0.608
0.986 0.796 0.456
0.333 0.363 0.382
0.378 0.362 0.655
0.483 0.483 0.626
0.562 0.838 0.020
0.751 0.755 0.506
0.913 0.053 0.296
0.735 0.781 0.165
0.752 0.062 0.802
0.234 0.743 0.029
0.736 0.174 0.215
0.265 0.219 0.835
0.766 0.257 0.971
0.622 0.638 0.345
0.676 0.448 0.000
0.578 0.084 0.107
0.516 0.714 0.945
0.730 0.115 0.397
0.087 0.947 0.704
0.934 0.406 0.539
0.249 0.245 0.494
0.066 0.594 0.461
0.279 0.592 0.170
0.870 0.793 0.261
0.828 0.908 0.098
0.721 0.408 0.830
0.484 0.286 0.055
0.517 0.517 0.374
0.820 0.026 0.631
0.324 0.552 0.000
0.422 0.916 0.893
0.184 0.698 0.392
0.385 0.882 0.324
0.419 0.421 0.796
0.454 0.167 0.438
0.180 0.974 0.369
0.615 0.118 0.676
0.248 0.938 0.198
0.264 0.826 0.785
0.172 0.092 0.902
0.270 0.885 0.603
0.130 0.207 0.739
0.581 0.579 0.204
0.532 0.821 0.926
0.611 0.544 0.310
0.468 0.179 0.074
0.389 0.456 0.690
0.727 0.031 0.712
0.799 0.148 0.307
0.201 0.852 0.693
0.764 0.371 0.933
0.273 0.969 0.288
0.336 0.248 0.408
0.908 0.311 0.529
0.664 0.752 0.592
0.236 0.629 0.067
0.846 0.794 0.157
0.154 0.206 0.843
0.092 0.689 0.471
0.828 0.346 0.331
0.172 0.654 0.669
0.713 0.813 0.767
0.287 0.187 0.233
0.970 0.619 0.848
0.030 0.381 0.152
0.976 0.365 0.928
0.024 0.635 0.072

---

Entry 7:
SCAN NaLi3Si, PBEsol geometry; total magnetic moment = 0.000 μB/atom; DOS at the Fermi energy = 0.169 states/eV/atom; formation energy from raw total energies = -0.04 eV/atom; space-group type = No. 221
1.0
-4.496 1.668 -0.925
0.048 -2.268 -4.325
-1.907 -3.990 2.071
Li Si Na
3 1 1
direct
0.500 0.000 0.000
0.000 0.500 0.000
0.000 0.000 0.500
0.000 0.000 0.000
0.500 0.500 0.500

---

Entry 8:
SCAN Mg2InSe, PBEsol geometry; relative energy among the computed polymorphs = 120 meV/atom; total magnetic moment = 0.000 μB/atom; DOS at the Fermi energy = 0.323 states/eV/atom; formation energy from raw total energies = -0.45 eV/atom; space-group type = No. 10
1.0
-1.046 -2.450 2.512
3.887 -1.138 0.509
-1.080 4.819 4.250
In Se Mg
1 1 2
direct
0.500 0.500 0.000
0.500 0.000 0.500
0.000 0.847 0.753
0.000 0.153 0.247

---

Entry 9:
SCAN Te2OsRh, PBEsol geometry; relative energy among the computed polymorphs = 0 meV/atom; total magnetic moment = 0.000 μB/atom; DOS at the Fermi energy = 0.890 states/eV/atom; formation energy from raw total energies = 0.50 eV/atom; space-group type = No. 123
1.0
3.262 0.000 0.000
0.000 3.262 0.000
0.000 0.000 6.728
Os Te Rh
1 2 1
direct
0.500 0.500 0.000
0.000 0.000 0.251
0.000 0.000 0.749
0.500 0.500 0.500

---

Entry 10:
SCAN NaSbSI2, PBEsol geometry; total magnetic moment = 0.010 μB/atom; DOS at the Fermi energy = 0.801 states/eV/atom; formation energy from raw total energies = 0.65 eV/atom; space-group type = No. 123
1.0
-3.170 2.467 -3.614
-3.885 0.467 3.726
2.161 5.134 1.610
Sb I S Na
1 2 1 1
direct
0.000 0.000 0.500
0.500 0.000 0.000
0.000 0.500 0.000
0.500 0.500 0.500
0.000 0.000 0.000

---

Entry 11:
SCAN Al2O3, PBEsol geometry; total magnetic moment = 0.000 μB/atom; DOS at the Fermi energy = 0.000 states/eV/atom; formation energy from raw total energies = -3.37 eV/atom; space-group type = No. 167
1.0
4.774 0.000 0.000
2.387 4.134 0.000
2.387 1.378 4.338
O Al
6 4
direct
0.556 0.250 0.250
0.944 0.556 0.250
0.250 0.944 0.250
0.750 0.056 0.750
0.056 0.444 0.750
0.444 0.750 0.750
0.148 0.148 0.556
0.352 0.352 0.944
0.648 0.648 0.056
0.852 0.852 0.444

---

Entry 12:
SCAN BeTe5, PBEsol geometry; total magnetic moment = 0.000 μB/atom; DOS at the Fermi energy = 1.069 states/eV/atom; formation energy from raw total energies = 0.91 eV/atom; space-group type = No. 216
1.0
6.199 0.000 0.000
3.099 5.368 0.000
3.099 1.789 5.061
Be Te
1 5
direct
0.000 0.000 0.000
0.625 0.625 0.625
0.126 0.625 0.625
0.625 0.625 0.126
0.250 0.250 0.250
0.625 0.126 0.625